Compound: DyY2Al3CuGe2
Source: OQMD via LeMat-Bulk
Functional: PBE
Structure: optimized geometry

Summary:
space group: Amm2

a b c (Å): 4.171 7.015 7.015
angles (deg): 120.00 90.00 90.00
Atoms (fractional coordinates):
Al 0.500 0.768 0.000
Ge 0.500 0.667 0.333
Y 0.000 0.000 0.403
Ge 0.500 0.333 0.667
Cu 0.000 0.000 0.000
Y 0.000 0.403 0.000
Al 0.500 0.000 0.768
Al 0.500 0.232 0.232
Dy 0.000 0.597 0.597



Compound: UTlCd
Source: OQMD via LeMat-Bulk
Functional: PBE
Structure: optimized geometry

Summary:
space group: F-43m

a b c (Å): 5.007 5.007 5.007
angles (deg): 60.00 60.00 60.00
Atoms (fractional coordinates):
Tl 0.000 0.000 0.000
U 0.750 0.750 0.750
Cd 0.250 0.250 0.250



no.,energy (eV per formula unit),mass density (Mg/m³)
1,-47.74,5.89
2,-12.63,10.38